# 1
# Ho2TmHf

Crystalline Ho2TmHf at its relaxed geometry (PBE, the Alexandria database).

Geometry as CIF:
```
data_Ho2TmHf
_cell_length_a 3.970
_cell_length_b 3.970
_cell_length_c 7.153
_cell_angle_alpha 90.00
_cell_angle_beta 90.00
_cell_angle_gamma 90.00
_symmetry_space_group_name_H-M 'P 4/m m m'
_symmetry_Int_Tables_number 123
_symmetry_space_group_name_Hall '-P 4 2'
loop_
_atom_site_label
_atom_site_type_symbol
_atom_site_fract_x
_atom_site_fract_y
_atom_site_fract_z
Ho1 Ho 0.000 0.000 0.226
Tm1 Tm 0.500 0.500 0.500
Hf1 Hf 0.500 0.500 0.000
```

- density of states at the Fermi level (states/eV/atom) = 1.715
- volume (A^3/atom) = 28.19
- energy relative to the lowest polymorph listed for this composition (eV per formula unit) = 0.46
- E_form (kJ/mol of formula units) = 83.5
- E_tot (eV per atom) = -5.6788



# 2
# HoTmHf

Crystalline HoTmHf at its relaxed geometry (PBE, the Alexandria database).

Geometry as CIF:
```
data_HoTmHf
_cell_length_a 6.116
_cell_length_b 3.266
_cell_length_c 8.371
_cell_angle_alpha 90.00
_cell_angle_beta 90.00
_cell_angle_gamma 90.00
_symmetry_space_group_name_H-M 'P m m a'
_symmetry_Int_Tables_number 51
loop_
_symmetry_equiv_pos_as_xyz
'x,y,z'
'-x,-y,-z'
'-x+1/2,-y,z'
'x+1/2,y,-z'
'x+1/2,-y,-z'
'-x+1/2,y,z'
'-x,y,-z'
'x,-y,z'
loop_
_atom_site_label
_atom_site_type_symbol
_atom_site_fract_x
_atom_site_fract_y
_atom_site_fract_z
Ho1 Ho 0.250 0.000 0.211
Tm1 Tm 0.250 0.500 0.841
Hf1 Hf 0.000 0.500 0.500
```

- density of states at the Fermi level (states/eV/atom) = 1.413
- volume (A^3/atom) = 27.87
- energy relative to the lowest polymorph listed for this composition (eV per formula unit) = 0.51
- E_form (kJ/mol of formula units) = 79.7
- E_tot (eV per atom) = -6.0588



# 3
# Ho14TmHf

Crystalline Ho14TmHf at its relaxed geometry (PBE, the Alexandria database).

Geometry as CIF:
```
data_Ho14TmHf
_cell_length_a 6.990
_cell_length_b 6.990
_cell_length_c 9.865
_cell_angle_alpha 90.00
_cell_angle_beta 90.00
_cell_angle_gamma 90.00
_symmetry_space_group_name_H-M 'P 4/m m m'
_symmetry_Int_Tables_number 123
_symmetry_space_group_name_Hall '-P 4 2'
loop_
_atom_site_label
_atom_site_type_symbol
_atom_site_fract_x
_atom_site_fract_y
_atom_site_fract_z
Ho1 Ho 0.000 0.000 0.000
Ho2 Ho 0.000 0.500 0.000
Ho3 Ho 0.000 0.500 0.500
Ho4 Ho 0.245 0.245 0.256
Ho5 Ho 0.500 0.500 0.000
Tm1 Tm 0.500 0.500 0.500
Hf1 Hf 0.000 0.000 0.500
```

- density of states at the Fermi level (states/eV/atom) = 1.146
- volume (A^3/atom) = 30.12
- E_form (kJ/mol of formula units) = 73.0
- E_tot (eV per atom) = -4.8598



# 4
# Ho2TmHf

Crystalline Ho2TmHf at its relaxed geometry (PBE, the Alexandria database).

Geometry as CIF:
```
data_Ho2TmHf
_cell_length_a 3.4192
_cell_length_b 3.4192
_cell_length_c 33.2146
_cell_angle_alpha 90.00
_cell_angle_beta 90.00
_cell_angle_gamma 120.00
_symmetry_space_group_name_H-M 'R 3 m'
_symmetry_Int_Tables_number 160
_symmetry_space_group_name_Hall 'R 3 -2"'
loop_
_atom_site_label
_atom_site_type_symbol
_atom_site_fract_x
_atom_site_fract_y
_atom_site_fract_z
Ho1 Ho 0.0000 0.0000 0.0000
Ho2 Ho 0.0000 0.0000 0.1758
Tm1 Tm 0.0000 0.0000 0.7544
Hf1 Hf 0.0000 0.0000 0.5881
```

- density of states at the Fermi level (states/eV/atom) = 1.562
- volume (A^3/atom) = 28.02
- energy relative to the lowest polymorph listed for this composition (eV per formula unit) = 0.00
- E_form (kJ/mol of formula units) = 39.4
- E_tot (eV per atom) = -5.7931



# 5
# Ho2TmHf

Crystalline Ho2TmHf at its relaxed geometry (PBE, the Alexandria database).

Geometry as CIF:
```
data_Ho2TmHf
_cell_length_a 3.3137
_cell_length_b 3.3137
_cell_length_c 35.6727
_cell_angle_alpha 90.00
_cell_angle_beta 90.00
_cell_angle_gamma 120.00
_symmetry_space_group_name_H-M 'R -3 m'
_symmetry_Int_Tables_number 166
_symmetry_space_group_name_Hall '-R 3 2"'
loop_
_atom_site_label
_atom_site_type_symbol
_atom_site_fract_x
_atom_site_fract_y
_atom_site_fract_z
Ho1 Ho 0.0000 0.0000 0.0872
Tm1 Tm 0.0000 0.0000 0.5000
Hf1 Hf 0.0000 0.0000 0.0000
```

- density of states at the Fermi level (states/eV/atom) = 1.654
- volume (A^3/atom) = 28.27
- energy relative to the lowest polymorph listed for this composition (eV per formula unit) = 0.99
- E_form (kJ/mol of formula units) = 134.5
- E_tot (eV per atom) = -5.5467



# 6
# HoTmHf

Crystalline HoTmHf at its relaxed geometry (PBE, the Alexandria database).

Geometry as CIF:
```
data_HoTmHf
_cell_length_a 5.2815
_cell_length_b 5.2815
_cell_length_c 3.3706
_cell_angle_alpha 90.00
_cell_angle_beta 90.00
_cell_angle_gamma 120.00
_symmetry_space_group_name_H-M 'P -6 m 2'
_symmetry_Int_Tables_number 187
_symmetry_space_group_name_Hall 'P -6 2'
loop_
_atom_site_label
_atom_site_type_symbol
_atom_site_fract_x
_atom_site_fract_y
_atom_site_fract_z
Ho1 Ho 0.0000 0.0000 0.0000
Tm1 Tm 0.3333 0.6667 0.5000
Hf1 Hf 0.6667 0.3333 0.5000
```

- density of states at the Fermi level (states/eV/atom) = 1.869
- volume (A^3/atom) = 27.14
- energy relative to the lowest polymorph listed for this composition (eV per formula unit) = 0.26
- E_form (kJ/mol of formula units) = 55.2
- E_tot (eV per atom) = -6.1436



# 7
# HoTmHf

Crystalline HoTmHf at its relaxed geometry (PBE, the Alexandria database).

Geometry as CIF:
```
data_HoTmHf
_cell_length_a 3.363
_cell_length_b 4.691
_cell_length_c 10.335
_cell_angle_alpha 90.00
_cell_angle_beta 90.00
_cell_angle_gamma 90.00
_symmetry_space_group_name_H-M 'P m m n'
_symmetry_Int_Tables_number 59
loop_
_symmetry_equiv_pos_as_xyz
'x,y,z'
'-x,-y,-z'
'-x+1/2,-y+1/2,z'
'x+1/2,y+1/2,-z'
'x+1/2,-y,-z'
'-x+1/2,y,z'
'-x,y+1/2,-z'
'x,-y+1/2,z'
loop_
_atom_site_label
_atom_site_type_symbol
_atom_site_fract_x
_atom_site_fract_y
_atom_site_fract_z
Ho1 Ho 0.250 0.250 0.090
Tm1 Tm 0.250 0.250 0.731
Hf1 Hf 0.250 0.250 0.430
```

- density of states at the Fermi level (states/eV/atom) = 1.496
- volume (A^3/atom) = 27.17
- energy relative to the lowest polymorph listed for this composition (eV per formula unit) = 0.02
- E_form (kJ/mol of formula units) = 32.4
- E_tot (eV per atom) = -6.2223



# 8
# HoHf2V

Crystalline HoHf2V at its relaxed geometry (PBE, the Alexandria database).

Geometry as CIF:
```
data_HoHf2V
_cell_length_a 3.380
_cell_length_b 3.380
_cell_length_c 7.693
_cell_angle_alpha 90.00
_cell_angle_beta 90.00
_cell_angle_gamma 90.00
_symmetry_space_group_name_H-M 'P 4/m m m'
_symmetry_Int_Tables_number 123
_symmetry_space_group_name_Hall '-P 4 2'
loop_
_atom_site_label
_atom_site_type_symbol
_atom_site_fract_x
_atom_site_fract_y
_atom_site_fract_z
Ho1 Ho 0.000 0.000 0.000
Hf1 Hf 0.500 0.500 0.303
V1 V 0.000 0.000 0.500
```

- density of states at the Fermi level (states/eV/atom) = 1.605
- volume (A^3/atom) = 21.97
- E_form (kJ/mol of formula units) = 71.2
- E_tot (eV per atom) = -8.2163



# 9
# HoHfV

Crystalline HoHfV at its relaxed geometry (PBE, the Alexandria database).

Geometry as CIF:
```
data_HoHfV
_cell_length_a 3.2606
_cell_length_b 3.2606
_cell_length_c 21.9053
_cell_angle_alpha 90.00
_cell_angle_beta 90.00
_cell_angle_gamma 120.00
_symmetry_space_group_name_H-M 'R 3 m'
_symmetry_Int_Tables_number 160
_symmetry_space_group_name_Hall 'R 3 -2"'
loop_
_atom_site_label
_atom_site_type_symbol
_atom_site_fract_x
_atom_site_fract_y
_atom_site_fract_z
Ho1 Ho 0.0000 0.0000 0.0000
Hf1 Hf 0.0000 0.0000 0.7977
V1 V 0.0000 0.0000 0.2244
```

- density of states at the Fermi level (states/eV/atom) = 1.253
- volume (A^3/atom) = 22.41
- E_form (kJ/mol of formula units) = 112.1
- E_tot (eV per atom) = -7.4959



# 10
# HoHf2W

Crystalline HoHf2W at its relaxed geometry (PBE, the Alexandria database).

Geometry as CIF:
```
data_HoHf2W
_cell_length_a 3.419
_cell_length_b 3.419
_cell_length_c 7.703
_cell_angle_alpha 90.00
_cell_angle_beta 90.00
_cell_angle_gamma 90.00
_symmetry_space_group_name_H-M 'P 4/m m m'
_symmetry_Int_Tables_number 123
_symmetry_space_group_name_Hall '-P 4 2'
loop_
_atom_site_label
_atom_site_type_symbol
_atom_site_fract_x
_atom_site_fract_y
_atom_site_fract_z
Ho1 Ho 0.000 0.000 0.000
Hf1 Hf 0.500 0.500 0.302
W1 W 0.000 0.000 0.500
```

- density of states at the Fermi level (states/eV/atom) = 1.162
- volume (A^3/atom) = 22.51
- E_form (kJ/mol of formula units) = 56.2
- E_tot (eV per atom) = -9.2138



# 11
# YHoHf

Crystalline YHoHf at its relaxed geometry (PBE, the Alexandria database).

Geometry as CIF:
```
data_YHoHf
_cell_length_a 3.388
_cell_length_b 4.695
_cell_length_c 10.515
_cell_angle_alpha 90.00
_cell_angle_beta 90.00
_cell_angle_gamma 90.00
_symmetry_space_group_name_H-M 'P m m n'
_symmetry_Int_Tables_number 59
loop_
_symmetry_equiv_pos_as_xyz
'x,y,z'
'-x,-y,-z'
'-x+1/2,-y+1/2,z'
'x+1/2,y+1/2,-z'
'x+1/2,-y,-z'
'-x+1/2,y,z'
'-x,y+1/2,-z'
'x,-y+1/2,z'
loop_
_atom_site_label
_atom_site_type_symbol
_atom_site_fract_x
_atom_site_fract_y
_atom_site_fract_z
Y1 Y 0.250 0.250 0.093
Ho1 Ho 0.250 0.250 0.727
Hf1 Hf 0.250 0.250 0.432
```

- density of states at the Fermi level (states/eV/atom) = 1.513
- volume (A^3/atom) = 27.88
- energy relative to the lowest polymorph listed for this composition (eV per formula unit) = 0.02
- E_form (kJ/mol of formula units) = 36.6
- E_tot (eV per atom) = -6.8719



# 12
# YHo2Hf

Crystalline YHo2Hf at its relaxed geometry (PBE, the Alexandria database).

Geometry as CIF:
```
data_YHo2Hf
_cell_length_a 3.966
_cell_length_b 3.966
_cell_length_c 7.320
_cell_angle_alpha 90.00
_cell_angle_beta 90.00
_cell_angle_gamma 90.00
_symmetry_space_group_name_H-M 'P 4/m m m'
_symmetry_Int_Tables_number 123
_symmetry_space_group_name_Hall '-P 4 2'
loop_
_atom_site_label
_atom_site_type_symbol
_atom_site_fract_x
_atom_site_fract_y
_atom_site_fract_z
Y1 Y 0.000 0.000 0.000
Ho1 Ho 0.500 0.500 0.279
Hf1 Hf 0.000 0.000 0.500
```

- density of states at the Fermi level (states/eV/atom) = 1.925
- volume (A^3/atom) = 28.79
- energy relative to the lowest polymorph listed for this composition (eV per formula unit) = 0.43
- E_form (kJ/mol of formula units) = 83.5
- E_tot (eV per atom) = -6.1770